w.
# ErTlHgSe3, optimized geometry, DFT PBE
# mass density = 8.06 g cm⁻³
data_ErTlHgSe3
_chemical_formula_sum 'Er4 Tl4 Hg4 Se12'
_cell_length_a 12.240
_cell_length_b 4.251
_cell_length_c 12.808
_cell_angle_alpha 90.00
_cell_angle_beta 90.00
_cell_angle_gamma 90.00
_symmetry_space_group_name_H-M 'P n m a'
_symmetry_Int_Tables_number 62
loop_
_symmetry_equiv_pos_as_xyz
'x,y,z'
'-x,-y,-z'
'-x+1/2,-y,z+1/2'
'x+1/2,y,-z+1/2'
'x+1/2,-y+1/2,-z+1/2'
'-x+1/2,y+1/2,z+1/2'
'-x,y+1/2,-z'
'x,-y+1/2,z'
loop_
_atom_site_label
_atom_site_type_symbol
_atom_site_fract_x
_atom_site_fract_y
_atom_site_fract_z
Er1 Er 0.034 0.250 0.172
Tl1 Tl 0.160 0.250 0.502
Hg1 Hg 0.249 0.250 0.805
Se1 Se 0.032 0.750 0.327
Se2 Se 0.082 0.250 0.934
Se3 Se 0.238 0.750 0.669

=====

x.
# ErTlHgSe3, optimized geometry, DFT PBE
# mass density = 8.08 g cm⁻³
data_ErTlHgSe3
_chemical_formula_sum 'Er4 Tl4 Hg4 Se12'
_cell_length_a 4.155
_cell_length_b 14.661
_cell_length_c 10.923
_cell_angle_alpha 90.00
_cell_angle_beta 90.00
_cell_angle_gamma 90.00
_symmetry_space_group_name_H-M 'C m c m'
_symmetry_Int_Tables_number 63
_symmetry_space_group_name_Hall '-C 2c 2'
loop_
_atom_site_label
_atom_site_type_symbol
_atom_site_fract_x
_atom_site_fract_y
_atom_site_fract_z
Er1 Er 0.000 0.000 0.000
Tl1 Tl 0.000 0.250 0.250
Hg1 Hg 0.000 0.453 0.750
Se1 Se 0.000 0.074 0.750
Se2 Se 0.000 0.367 0.540

=====

Stability summary: most stable x, least stable w.

=====

w.
# ErSiHg, optimized geometry, DFT PBE
# mass density = 9.26 g cm⁻³
data_ErSiHg
_chemical_formula_sum 'Er4 Si4 Hg4'
_cell_length_a 6.573
_cell_length_b 6.573
_cell_length_c 6.573
_cell_angle_alpha 90.00
_cell_angle_beta 90.00
_cell_angle_gamma 90.00
_symmetry_space_group_name_H-M 'F -4 3 m'
_symmetry_Int_Tables_number 216
_symmetry_space_group_name_Hall 'F -4 2 3'
loop_
_atom_site_label
_atom_site_type_symbol
_atom_site_fract_x
_atom_site_fract_y
_atom_site_fract_z
Er1 Er 0.000 0.000 0.000
Si1 Si 0.250 0.250 0.250
Hg1 Hg 0.000 0.000 0.500

=====

x.
# ErSiHg, optimized geometry, DFT PBE
# mass density = 8.45 g cm⁻³
data_ErSiHg
_chemical_formula_sum 'Er4 Si4 Hg4'
_cell_length_a 6.778
_cell_length_b 6.778
_cell_length_c 6.778
_cell_angle_alpha 90.00
_cell_angle_beta 90.00
_cell_angle_gamma 90.00
_symmetry_space_group_name_H-M 'F -4 3 m'
_symmetry_Int_Tables_number 216
_symmetry_space_group_name_Hall 'F -4 2 3'
loop_
_atom_site_label
_atom_site_type_symbol
_atom_site_fract_x
_atom_site_fract_y
_atom_site_fract_z
Er1 Er 0.000 0.000 0.000
Si1 Si 0.250 0.250 0.250
Hg1 Hg 0.250 0.250 0.750

=====

Stability summary: most stable w, least stable x.

=====

w.
# SmErHg, optimized geometry, DFT PBE
# mass density = 9.06 g cm⁻³
data_SmErHg
_chemical_formula_sum 'Sm4 Er4 Hg4'
_cell_length_a 7.242
_cell_length_b 7.242
_cell_length_c 7.242
_cell_angle_alpha 90.00
_cell_angle_beta 90.00
_cell_angle_gamma 90.00
_symmetry_space_group_name_H-M 'F -4 3 m'
_symmetry_Int_Tables_number 216
_symmetry_space_group_name_Hall 'F -4 2 3'
loop_
_atom_site_label
_atom_site_type_symbol
_atom_site_fract_x
_atom_site_fract_y
_atom_site_fract_z
Sm1 Sm 0.000 0.000 0.000
Er1 Er 0.000 0.000 0.500
Hg1 Hg 0.250 0.250 0.750

=====

x.
# SmErHg, optimized geometry, DFT PBE
# mass density = 10.16 g cm⁻³
data_SmErHg
_chemical_formula_sum 'Sm4 Er4 Hg4'
_cell_length_a 7.241
_cell_length_b 5.067
_cell_length_c 9.235
_cell_angle_alpha 90.00
_cell_angle_beta 90.00
_cell_angle_gamma 90.00
_symmetry_space_group_name_H-M 'P n m a'
_symmetry_Int_Tables_number 62
loop_
_symmetry_equiv_pos_as_xyz
'x,y,z'
'-x,-y,-z'
'-x+1/2,-y,z+1/2'
'x+1/2,y,-z+1/2'
'x+1/2,-y+1/2,-z+1/2'
'-x+1/2,y+1/2,z+1/2'
'-x,y+1/2,-z'
'x,-y+1/2,z'
loop_
_atom_site_label
_atom_site_type_symbol
_atom_site_fract_x
_atom_site_fract_y
_atom_site_fract_z
Sm1 Sm 0.016 0.250 0.190
Er1 Er 0.163 0.250 0.574
Hg1 Hg 0.247 0.250 0.896

=====

Stability summary: most stable x, least stable w.